An optimized crystal structure of Ba3CrO. Source: Alexandria, functional PBE+U.

Cell and atoms, written as POSCAR:
```
Ba3CrO
1.0
5.605 0.000 0.000
0.000 5.605 0.000
0.000 0.000 5.605
Ba Cr O
3 1 1
Direct
0.000 0.000 0.500
0.000 0.500 0.000
0.500 0.000 0.000
0.500 0.500 0.500
0.000 0.000 0.000
```

## Properties
DFT total energy = -22.06 eV for the cell shown
Magnetic moment = 1.0382 μB/atom
Relative energy among the computed polymorphs = 0 meV/atom
Fermi-level density of states = 5.3 states/eV per cell